Computed, not measured: Re2PAu after structural relaxation at the PBE level of DFT.

Summary:
E_form: 0.216 eV per atom

Structure (POSCAR):
```
Re2PAu
1.0
-4.933 -2.490 -6.641
-2.905 -4.493 -6.784
-5.119 -4.827 -5.014
Re Au P
2 1 1
Cartesian
-3.386 -3.086 -4.818
-9.572 -8.724 -13.621
-6.479 -5.905 -9.219
0.000 0.000 0.000
```